Density functional theory data (GGA-PBE) for an optimized crystal structure of Pr2Be4Ge3Au.

Cell: 4.0769 4.0769 9.9710 Å, 90.00 90.00 90.00°
Atoms (fractional coordinates):
Pr1 0.0000 0.5000 0.2437
Pr2 0.5000 0.0000 0.7563
Be1 0.0000 0.0000 0.0000
Be2 0.0000 0.5000 0.6324
Be3 0.5000 0.0000 0.3676
Be4 0.5000 0.5000 0.0000
Ge1 0.0000 0.5000 0.8703
Ge2 0.5000 0.0000 0.1297
Ge3 0.5000 0.5000 0.5000
Au1 0.0000 0.0000 0.5000

## Properties
As for the total magnetization: 0.00 Bohr magnetons per cell. The calculation puts the calculated density at 7.342 g/cm3. The calculation puts the energy relative to the elements at -0.4387 eV/atom. As for the density of states at the Fermi level: 3.17 states/eV/f.u.